Here is a relaxed ZrSc2Ir crystal from Alexandria via LeMat-Bulk. Energies are from PBE-GGA.

Summary:
- E_form (eV per atom) = -0.2040
- N(E_F) (states/eV per cell) = 19.3
- total magnetic moment (μB per formula unit) = 0.00
- energy relative to the lowest polymorph listed for this composition (meV per atom) = 339

```
data_ZrSc2Ir
_space_group_name_H-M_alt 'I -4 2 d'
_space_group_IT_number 122
_space_group_name_Hall 'I -4 2bw'
_cell_length_a 7.896
_cell_length_b 7.896
_cell_length_c 5.686
_cell_angle_alpha 90.00
_cell_angle_beta 90.00
_cell_angle_gamma 90.00
loop_
_atom_site_label
_atom_site_fract_x
_atom_site_fract_y
_atom_site_fract_z
_atom_site_occupancy
Zr1 0.000 0.000 0.000 1
Sc1 0.189 0.250 0.625 1
Ir1 0.000 0.000 0.500 1
```